This record from OQMD describes a relaxed structure of NaTe2PbAuSe. The functional is GGA-PBE.

abc: 7.2108 7.2108 11.6843
angles: 90.00 90.00 146.18
With the nearest neighbours (Å) after each atom.
Positions (direct):
Na: 0.2292 0.7708 0.7500  2 Se 3.03, 4 Te 3.31
Na: 0.7708 0.2292 0.2500  2 Se 3.03, 4 Te 3.31
Te: 0.1718 0.8282 0.0643  1 Au 2.83
Te: 0.1718 0.8282 0.4357  1 Au 2.83
Te: 0.8282 0.1718 0.5643  1 Au 2.83
Te: 0.8282 0.1718 0.9357  1 Au 2.83
Pb: 0.5000 0.5000 0.0000  2 Se 3.08, 4 Te 3.25
Pb: 0.5000 0.5000 0.5000  2 Se 3.08, 4 Te 3.25
Au: 0.0404 0.9596 0.2500  2 Se 2.60, 2 Te 2.83
Au: 0.9596 0.0404 0.7500  2 Se 2.60, 2 Te 2.83
Se: 0.4294 0.5706 0.2500  2 Au 2.60
Se: 0.5706 0.4294 0.7500  2 Au 2.60

Computed properties:
uncorrected energy: -3.308 eV per atom
SG: Cmcm